1.
TmHf2Sc: relaxed, GGA-PBE.

Cell lengths 10.848, 10.848, 10.848 Å; angles 17.11, 17.11, 17.11 degrees
Positions (direct):
1 Tm 0.000 0.000 0.000
2 Hf 0.248 0.248 0.248
3 Hf 0.752 0.752 0.752
4 Sc 0.500 0.500 0.500

Output
Symmetry ... R-3m
Relative energy among the computed polymorphs ... 38 meV/atom
Energy ... -30.23 eV per formula unit

---

2.
Tm14HfSc: relaxed, GGA-PBE.

Cell lengths 6.898, 6.898, 9.721 Å; angles 90.00, 90.00, 90.00 degrees
Positions (direct):
1 Tm 0.000 0.000 0.000
2 Tm 0.000 0.500 0.000
3 Tm 0.000 0.500 0.500
4 Tm 0.247 0.247 0.257
5 Tm 0.247 0.247 0.743
6 Tm 0.247 0.753 0.257
7 Tm 0.247 0.753 0.743
8 Tm 0.500 0.000 0.000
9 Tm 0.500 0.000 0.500
10 Tm 0.500 0.500 0.000
11 Tm 0.753 0.247 0.257
12 Tm 0.753 0.247 0.743
13 Tm 0.753 0.753 0.257
14 Tm 0.753 0.753 0.743
15 Hf 0.000 0.000 0.500
16 Sc 0.500 0.500 0.500

Output
Symmetry ... P4/mmm
Energy ... -78.05 eV per formula unit

---

no.,formation enthalpy at 0 K (eV per atom)
1,0.12
2,0.05